Cu2AgAu | PBE-GGA | relaxed

It has space group C2/m (No. 12), with a = 8.9221 Å, b = 2.8921 Å, c = 4.8442 Å, α = 90.00°, β = 101.46° and γ = 90.00°. The asymmetric unit holds Cu at (0.2483, 0.0000, 0.2465), Ag at (0.0000, 0.0000, 0.5000) and Au at (0.0000, 0.5000, 0.0000).

For the energy above the lowest structure with this stoichiometry, the calculation gives 46 meV/atom. The energy of formation is 0.0629 eV/atom. The value obtained for the size of the total moment is 0.0 μB per formula unit.

---

Cu2Ag3Au3 | PBE-GGA | relaxed

It has space group Immm (No. 71), with a = 4.1436 Å, b = 4.1520 Å, c = 15.3965 Å, α = 90.00°, β = 90.00° and γ = 90.00°. The asymmetric unit holds Cu at (0.0000, 0.0000, 0.2501), Ag at (0.0000, 0.0000, 0.0000), Ag at (0.0000, 0.5000, 0.1349), Au at (0.0000, 0.0000, 0.5000) and Au at (0.0000, 0.5000, 0.3617).

For the energy above the lowest structure with this stoichiometry, the calculation gives 0 meV/atom. The energy of formation is -0.0178 eV/atom. The value obtained for the size of the total moment is 0.0 μB per formula unit.

---

Cu2AgAu | PBE-GGA | relaxed

It has space group Fm-3m (No. 225), with a = 6.2182 Å, b = 6.2182 Å, c = 6.2182 Å, α = 90.00°, β = 90.00° and γ = 90.00°. The asymmetric unit holds Cu at (0.2500, 0.2500, 0.2500), Ag at (0.0000, 0.0000, 0.0000) and Au at (0.0000, 0.0000, 0.5000).

For the energy above the lowest structure with this stoichiometry, the calculation gives 5 meV/atom. The energy of formation is 0.0214 eV/atom. The value obtained for the size of the total moment is 0.0 μB per formula unit.

---

Cu2Ag2Au | PBE-GGA | relaxed

It has space group P4/mbm (No. 127), with a = 7.5575 Å, b = 7.5575 Å, c = 2.8307 Å, α = 90.00°, β = 90.00° and γ = 90.00°. The asymmetric unit holds Cu at (0.1634, 0.3366, 0.0000), Ag at (0.1337, 0.6337, 0.5000) and Au at (0.0000, 0.0000, 0.5000).

For the energy above the lowest structure with this stoichiometry, the calculation gives 100 meV/atom. The energy of formation is 0.1778 eV/atom. The value obtained for the size of the total moment is 0.0 μB per formula unit.

---

Cu4AgAu3 | PBE-GGA | relaxed

It has space group Imm2 (No. 44), with a = 5.3226 Å, b = 9.2690 Å, c = 5.1632 Å, α = 90.00°, β = 90.00° and γ = 90.00°. The asymmetric unit holds Cu at (0.0000, 0.2289, 0.0000), Cu at (0.2388, 0.0000, 0.1950), Ag at (0.0000, 0.0000, 0.7079), Au at (0.0000, 0.2735, 0.4959) and Au at (0.0000, 0.5000, 0.1319).

For the energy above the lowest structure with this stoichiometry, the calculation gives 129 meV/atom. The energy of formation is 0.1143 eV/atom. The value obtained for the size of the total moment is 0.0 μB per formula unit.

---

CuAgAu2 | PBE-GGA | relaxed

It has space group Cmmm (No. 65), with a = 5.8875 Å, b = 7.8646 Å, c = 2.8855 Å, α = 90.00°, β = 90.00° and γ = 90.00°. The asymmetric unit holds Cu at (0.0000, 0.0000, 0.0000), Ag at (0.0000, 0.5000, 0.0000) and Au at (0.2500, 0.2500, 0.5000).

For the energy above the lowest structure with this stoichiometry, the calculation gives 45 meV/atom. The energy of formation is -0.0049 eV/atom. The value obtained for the size of the total moment is 0.0 μB per formula unit.

---

Cu2AgAu | PBE-GGA | relaxed

It has space group Cmmm (No. 65), with a = 5.7812 Å, b = 7.3765 Å, c = 2.8231 Å, α = 90.00°, β = 90.00° and γ = 90.00°. The asymmetric unit holds Cu at (0.2500, 0.2500, 0.0000), Ag at (0.0000, 0.0000, 0.5000) and Au at (0.0000, 0.5000, 0.5000).

For the energy above the lowest structure with this stoichiometry, the calculation gives 6 meV/atom. The energy of formation is 0.0229 eV/atom. The value obtained for the size of the total moment is 0.0 μB per formula unit.

---

CuAg5Au6 | PBE-GGA | relaxed

It has space group Immm (No. 71), with a = 4.1450 Å, b = 8.2131 Å, c = 12.3958 Å, α = 90.00°, β = 90.00° and γ = 90.00°. The asymmetric unit holds Cu at (0.0000, 0.0000, 0.0000), Ag at (0.0000, 0.0000, 0.3363), Ag at (0.0000, 0.5000, 0.0000), Ag at (0.0000, 0.5000, 0.3316), Au at (0.0000, 0.2440, 0.1639) and Au at (0.0000, 0.2627, 0.5000).

The energy of formation is -0.0335 eV/atom. The value obtained for the size of the total moment is 0.0 μB per formula unit.

---

CuAgAu4 | PBE-GGA | relaxed

It has space group Cmmm (No. 65), with a = 4.8790 Å, b = 8.8009 Å, c = 4.8642 Å, α = 90.00°, β = 90.00° and γ = 90.00°. The asymmetric unit holds Cu at (0.0000, 0.0000, 0.0000), Ag at (0.0000, 0.5000, 0.5000), Au at (0.0000, 0.1616, 0.5000) and Au at (0.0000, 0.3343, 0.0000).

For the energy above the lowest structure with this stoichiometry, the calculation gives 27 meV/atom. The energy of formation is 0.0155 eV/atom. The value obtained for the size of the total moment is 0.0 μB per formula unit.

---

Cu5AgAu4 | PBE-GGA | relaxed

It has space group P4/mmm (No. 123), with a = 2.9955 Å, b = 2.9955 Å, c = 16.8049 Å, α = 90.00°, β = 90.00° and γ = 90.00°. The asymmetric unit holds Cu at (0.0000, 0.0000, 0.0000), Cu at (0.0000, 0.0000, 0.2002), Cu at (0.0000, 0.0000, 0.3991), Ag at (0.5000, 0.5000, 0.5000), Au at (0.5000, 0.5000, 0.1003) and Au at (0.5000, 0.5000, 0.3006).

For the energy above the lowest structure with this stoichiometry, the calculation gives 12 meV/atom. The energy of formation is -0.0071 eV/atom. The value obtained for the size of the total moment is 0.0 μB per formula unit.

---

CuAg6Au8 | PBE-GGA | relaxed

It has space group P-3 (No. 147), with a = 7.8759 Å, b = 7.8759 Å, c = 5.1878 Å, α = 90.00°, β = 90.00° and γ = 120.00°. The asymmetric unit holds Cu at (0.0000, 0.0000, 0.0000), Ag at (0.1011, 0.6378, 0.7940), Au at (0.0504, 0.7766, 0.3019) and Au at (0.3333, 0.6667, 0.2847).

For the energy above the lowest structure with this stoichiometry, the calculation gives 0 meV/atom. The energy of formation is 0.0591 eV/atom. The value obtained for the size of the total moment is 0.0 μB per formula unit.

---

CuAg2Au | PBE-GGA | relaxed

It has space group I-4m2 (No. 119), with a = 4.0776 Å, b = 4.0776 Å, c = 7.9966 Å, α = 90.00°, β = 90.00° and γ = 90.00°. The asymmetric unit holds Cu at (0.0000, 0.0000, 0.0000), Ag at (0.0000, 0.0000, 0.5000), Ag at (0.0000, 0.5000, 0.7500) and Au at (0.0000, 0.5000, 0.2500).

For the energy above the lowest structure with this stoichiometry, the calculation gives 36 meV/atom. The energy of formation is 0.0275 eV/atom. The value obtained for the size of the total moment is 0.0 μB per formula unit.